! PBE GeRhSe2O, relaxed; values from VASP
! Spin magnetization (μB per cell): 0.00
! E_form (uncorrected) (eV/f.u.): 1.9
! Density (g/cm3): 6.870
&SYSTEM
  ibrav = 0, nat = 5, ntyp = 4
/
ATOMIC_SPECIES
Ge 72.64 Ge.upf
Rh 102.91 Rh.upf
Se 78.96 Se.upf
O 16.00 O.upf
CELL_PARAMETERS angstrom
4.413 0.000 0.000
0.000 4.413 0.000
0.000 0.000 4.338
ATOMIC_POSITIONS angstrom
Ge 0.000 0.000 0.000
Rh 2.206 2.206 0.000
Se 0.000 2.206 2.169
Se 2.206 0.000 2.169
O 0.000 0.000 2.169